A) ## Zn6CuAu12 (PBE)

Data for Zn6CuAu12 after structural relaxation.

Output
For the density of states at the Fermi level, the calculation gives 0.34 states/eV/atom.

```
Zn6CuAu12
1.0
-6.966 -2.207 1.389
4.423 -5.911 0.910
1.836 4.969 5.222
Au Zn Cu
12 6 1
Direct
0.408 0.518 0.812
0.188 0.592 0.482
0.896 0.161 0.727
0.592 0.482 0.188
0.727 0.896 0.161
0.273 0.104 0.839
0.104 0.839 0.273
0.482 0.188 0.592
0.161 0.727 0.896
0.812 0.408 0.518
0.518 0.812 0.408
0.839 0.273 0.104
0.205 0.462 0.092
0.538 0.908 0.795
0.795 0.538 0.908
0.092 0.205 0.462
0.908 0.795 0.538
0.462 0.092 0.205
0.000 0.000 0.000
```


B) ## Zn6CuAu12 (PBE)

Data for Zn6CuAu12 after structural relaxation.

Output
For the density of states at the Fermi level, the calculation gives 0.27 states/eV/atom.

```
Zn6CuAu12
1.0
7.265 -0.335 -0.401
-1.432 7.130 -0.401
-1.432 -1.669 6.944
Au Zn Cu
12 6 1
Direct
0.699 0.036 0.163
0.473 0.363 0.818
0.182 0.527 0.637
0.036 0.163 0.699
0.818 0.473 0.363
0.637 0.182 0.527
0.837 0.301 0.964
0.301 0.964 0.837
0.964 0.837 0.301
0.363 0.818 0.473
0.163 0.699 0.036
0.527 0.637 0.182
0.825 0.568 0.755
0.755 0.825 0.568
0.175 0.432 0.245
0.245 0.175 0.432
0.568 0.755 0.825
0.432 0.245 0.175
0.000 0.000 0.000
```


Here are the energies relative to the best structure, in eV/atom: A) 0.000; B) 0.050.


A) ## Zn3CuAu3 (PBE)

Data for Zn3CuAu3 after structural relaxation.

Output
For the density of states at the Fermi level, the calculation gives 0.24 states/eV/atom.

```
Zn3CuAu3
1.0
-7.060 1.019 3.033
-1.950 -7.196 -2.120
2.537 -2.694 6.811
Zn Cu Au
12 4 12
Direct
0.445 0.555 0.055
0.308 0.808 0.692
0.139 0.861 0.361
0.055 0.445 0.555
0.555 0.055 0.445
0.361 0.139 0.861
0.861 0.361 0.139
0.808 0.692 0.308
0.192 0.192 0.192
0.945 0.945 0.945
0.639 0.639 0.639
0.692 0.308 0.808
0.392 0.392 0.392
0.108 0.608 0.892
0.608 0.892 0.108
0.892 0.108 0.608
0.131 0.542 0.230
0.458 0.730 0.369
0.869 0.042 0.270
0.730 0.369 0.458
0.230 0.131 0.542
0.958 0.770 0.631
0.770 0.631 0.958
0.270 0.869 0.042
0.042 0.270 0.869
0.369 0.458 0.730
0.631 0.958 0.770
0.542 0.230 0.131
```


B) ## Zn3CuAu3 (PBE)

Data for Zn3CuAu3 after structural relaxation.

Output
For the density of states at the Fermi level, the calculation gives 0.29 states/eV/atom.

```
Zn3CuAu3
1.0
-5.311 2.892 -1.497
3.150 -3.845 -3.755
-3.601 -5.714 3.559
Zn Cu Au
6 2 6
Direct
0.521 0.115 0.281
0.115 0.521 0.281
0.714 0.714 0.018
0.479 0.885 0.719
0.885 0.479 0.719
0.286 0.286 0.982
0.921 0.921 0.760
0.079 0.079 0.240
0.576 0.576 0.328
0.138 0.862 0.500
0.424 0.424 0.672
0.194 0.806 0.000
0.862 0.138 0.500
0.806 0.194 0.000
```


Here are the energies relative to the best structure, in eV/atom: A) 0.000; B) 0.035.


A) ## Zn2Cu5Au2 (PBE)

Data for Zn2Cu5Au2 after structural relaxation.

Output
For the density of states at the Fermi level, the calculation gives 0.29 states/eV/atom.

```
Zn2Cu5Au2
1.0
8.551 0.000 1.245
0.000 4.772 0.000
-2.403 -2.386 5.740
Cu Zn Au
10 4 4
Direct
0.883 0.332 0.122
0.117 0.209 0.878
0.943 0.363 0.550
0.780 0.897 0.234
0.664 0.421 0.332
0.220 0.663 0.766
0.547 0.002 0.437
0.453 0.565 0.563
0.336 0.089 0.668
0.057 0.813 0.450
0.281 0.696 0.238
0.386 0.130 0.105
0.614 0.025 0.895
0.719 0.458 0.762
0.827 0.918 0.654
0.500 0.578 0.000
0.000 0.749 0.000
0.173 0.264 0.346
```


B) ## Zn2Cu5Au2 (PBE)

Data for Zn2Cu5Au2 after structural relaxation.

Output
For the density of states at the Fermi level, the calculation gives 0.24 states/eV/atom.

```
Zn2Cu5Au2
1.0
1.229 9.434 -1.528
2.014 -0.936 -4.158
-6.721 -3.994 0.315
Au Cu Zn
4 10 4
Direct
0.204 0.308 0.500
0.796 0.808 0.500
0.000 0.968 0.000
0.500 0.468 0.000
0.563 0.396 0.713
0.437 0.683 0.287
0.065 0.824 0.500
0.838 0.375 0.108
0.935 0.324 0.500
0.770 0.875 0.108
0.649 0.896 0.713
0.230 0.766 0.892
0.351 0.183 0.287
0.162 0.266 0.892
0.414 0.883 0.751
0.586 0.133 0.249
0.164 0.633 0.249
0.836 0.383 0.751
```


Here are the energies relative to the best structure, in eV/atom: A) 0.000; B) 0.076.


A) ## Zn2Cu2Au7 (PBE)

Data for Zn2Cu2Au7 after structural relaxation.

Output
For the density of states at the Fermi level, the calculation gives 0.33 states/eV/atom.

```
Zn2Cu2Au7
1.0
4.115 0.000 -1.256
-1.063 6.075 -3.484
-0.015 0.067 7.321
Au Zn Cu
7 2 2
Direct
0.863 0.192 0.725
0.500 0.950 0.000
0.848 0.754 0.697
0.357 0.476 0.715
0.152 0.057 0.303
0.643 0.761 0.285
0.137 0.467 0.275
0.701 0.324 0.402
0.299 0.922 0.598
0.500 0.326 0.000
0.000 0.624 0.000
```


B) ## Zn2Cu2Au7 (PBE)

Data for Zn2Cu2Au7 after structural relaxation.

Output
For the density of states at the Fermi level, the calculation gives 0.39 states/eV/atom.

```
Zn2Cu2Au7
1.0
7.065 0.243 0.350
-0.565 5.362 -0.167
-0.565 -2.040 4.961
Au Cu Zn
7 2 2
Direct
0.184 0.931 0.470
0.816 0.069 0.530
0.184 0.470 0.931
0.000 0.000 0.000
0.515 0.250 0.250
0.816 0.530 0.069
0.485 0.750 0.750
0.834 0.579 0.579
0.166 0.421 0.421
0.500 0.250 0.750
0.500 0.750 0.250
```


Here are the energies relative to the best structure, in eV/atom: A) 0.000; B) 0.047.


A) ## ZnCu3Au2 (PBE)

Data for ZnCu3Au2 after structural relaxation.

Output
For the density of states at the Fermi level, the calculation gives 0.28 states/eV/atom.

```
ZnCu3Au2
1.0
-2.386 0.160 -1.349
1.925 -6.987 -4.235
-6.724 -8.456 10.895
Cu Zn Au
12 4 8
Direct
0.250 0.755 0.669
0.750 0.034 0.910
0.250 0.255 0.831
0.750 0.487 0.077
0.250 0.513 0.923
0.250 0.466 0.410
0.750 0.987 0.423
0.750 0.245 0.331
0.250 0.013 0.577
0.750 0.534 0.590
0.250 0.966 0.090
0.750 0.745 0.169
0.750 0.206 0.164
0.750 0.706 0.336
0.250 0.794 0.836
0.250 0.294 0.664
0.250 0.477 0.232
0.750 0.023 0.732
0.750 0.258 0.507
0.250 0.742 0.493
0.750 0.523 0.768
0.750 0.758 0.993
0.250 0.977 0.268
0.250 0.242 0.007
```


B) ## ZnCu3Au2 (PBE)

Data for ZnCu3Au2 after structural relaxation.

Output
For the density of states at the Fermi level, the calculation gives 0.30 states/eV/atom.

```
ZnCu3Au2
1.0
-0.703 2.623 4.015
0.116 -2.169 4.363
8.208 2.428 1.959
Cu Au Zn
6 4 2
Direct
0.429 0.652 0.758
0.267 0.000 0.242
0.919 0.652 0.242
0.571 0.348 0.242
0.733 0.000 0.758
0.081 0.348 0.758
0.500 0.000 0.500
0.000 0.000 0.000
0.166 0.668 0.500
0.834 0.332 0.500
0.333 0.333 0.000
0.667 0.667 0.000
```


Here are the energies relative to the best structure, in eV/atom: A) 0.000; B) 0.016.